(1)
VASP calculation (SCAN) on Zr7Zn at its PBEsol-relaxed geometry.

energy of formation from the pure elements: -0.033 eV/atom
N(E_F): 8.433 states/eV/f.u.
electronic total energy: -228.67 eV for the cell shown
excess energy over the best structure of this formula in the dataset: 0.0 meV/atom
mass density: 6.98 g/cm³

Cell: 4.3614 4.3614 8.8031 Å, 90.00 90.00 90.00°
With the nearest neighbours (Å) after each atom.
Fractional positions:
Zr 0.5000 0.5000 0.5000  12 Zr 3.08-3.15
Zr 0.5000 0.5000 0.0000  8 Zr 3.05, 4 Zn 3.08
Zr 0.0000 0.5000 0.2415  10 Zr 3.05-3.15, 2 Zn 3.05
Zr 0.5000 0.0000 0.7585  2 Zn 3.05, 10 Zr 3.05-3.15
Zr 0.0000 0.5000 0.7585  2 Zn 3.05, 10 Zr 3.05-3.15
Zr 0.5000 0.0000 0.2415  2 Zn 3.05, 10 Zr 3.05-3.15
Zr 0.0000 0.0000 0.5000  12 Zr 3.08-3.15
Zn 0.0000 0.0000 0.0000  12 Zr 3.05-3.08

(2)
VASP calculation (SCAN) on Zr17Zn12 at its PBEsol-relaxed geometry.

energy of formation from the pure elements: -0.210 eV/atom
N(E_F): 18.809 states/eV/f.u.
electronic total energy: -690.16 eV for the cell shown
mass density: 7.30 g/cm³

Cell: 8.8381 8.8381 8.8381 Å, 109.47 109.47 109.47°
With the nearest neighbours (Å) after each atom.
Fractional positions:
Zn 0.8145 0.6382 0.0000  3 Zn 2.55-2.68
Zn 0.1764 0.3618 0.3618  3 Zn 2.55-2.68
Zn 0.3618 0.1764 0.3618  3 Zn 2.55-2.68
Zn 0.6382 0.8145 0.0000  3 Zn 2.55-2.68
Zn 0.3618 0.3618 0.1764  3 Zn 2.55-2.68
Zn 0.8236 0.1855 0.1855  3 Zn 2.55-2.68
Zn 0.0000 0.6382 0.8145  3 Zn 2.55-2.68
Zn 0.8145 0.0000 0.6382  3 Zn 2.55-2.68
Zn 0.1855 0.8236 0.1855  3 Zn 2.55-2.68
Zn 0.6382 0.0000 0.8145  3 Zn 2.55-2.68
Zn 0.0000 0.8145 0.6382  3 Zn 2.55-2.68
Zn 0.1855 0.1855 0.8236  3 Zn 2.55-2.68
Zr 0.0000 0.0000 0.0000  4 Zr 3.05, 12 Zn 3.07
Zr 0.5960 0.3118 0.0000  5 Zn 2.89-3.03, 7 Zr 2.90-3.08
Zr 0.2842 0.6882 0.6882  5 Zn 2.89-3.03, 7 Zr 2.90-3.08
Zr 0.3453 0.0000 0.0000  4 Zr 2.90-3.05, 6 Zn 2.98
Zr 0.0000 0.3453 0.0000  4 Zr 2.90-3.05, 6 Zn 2.98
Zr 0.6547 0.6547 0.6547  4 Zr 2.90-3.05, 6 Zn 2.98
Zr 0.7158 0.4040 0.4040  5 Zn 2.89-3.03, 7 Zr 2.90-3.08
Zr 0.4040 0.7158 0.4040  5 Zn 2.89-3.03, 7 Zr 2.90-3.08
Zr 0.0000 0.3118 0.5960  5 Zn 2.89-3.03, 7 Zr 2.90-3.08
Zr 0.5960 0.0000 0.3118  5 Zn 2.89-3.03, 7 Zr 2.90-3.08
Zr 0.3118 0.0000 0.5960  5 Zn 2.89-3.03, 7 Zr 2.90-3.08
Zr 0.0000 0.5960 0.3118  5 Zn 2.89-3.03, 7 Zr 2.90-3.08
Zr 0.6882 0.6882 0.2842  5 Zn 2.89-3.03, 7 Zr 2.90-3.08
Zr 0.4040 0.4040 0.7158  5 Zn 2.89-3.03, 7 Zr 2.90-3.08
Zr 0.3118 0.5960 0.0000  5 Zn 2.89-3.03, 7 Zr 2.90-3.08
Zr 0.0000 0.0000 0.3453  4 Zr 2.90-3.05, 6 Zn 2.98
Zr 0.6882 0.2842 0.6882  5 Zn 2.89-3.03, 7 Zr 2.90-3.08